(1)
First-principles (PBE) data for crystalline DyPu2ScAs4 at its relaxed geometry, as listed in Alexandria via LeMat-Bulk.

Properties
Total DFT energy (no corrections) = -8.4987 eV per atom
Formation enthalpy at 0 K = -1.224 eV/atom
Total moment = 9.90 μB/f.u.
N(E_F) = 20.57 states/eV/f.u.

abc: 7.0110 4.0830 7.0651
angles: 90.00 109.63 90.00
Space group P2/m (No. 10)
Inequivalent atoms, fractional coordinates:
Dy  0.0000  0.0000  0.0000 x1
Pu  0.5000  0.0000  0.5000 x1
Pu  0.5000  0.5000  0.0000 x1
Sc  0.0000  0.5000  0.5000 x1
As  0.2423  0.0000  0.7404 x2
As  0.2472  0.5000  0.2563 x2

---

(2)
First-principles (PBE) data for crystalline Dy2PuScAs4 at its relaxed geometry, as listed in Alexandria via LeMat-Bulk.

Properties
Total DFT energy (no corrections) = -7.4002 eV per atom
Formation enthalpy at 0 K = -1.342 eV/atom
Total moment = 4.94 μB/f.u.
N(E_F) = 12.39 states/eV/f.u.

abc: 7.0202 4.0768 7.0349
angles: 90.00 109.44 90.00
Space group P2/m (No. 10)
Inequivalent atoms, fractional coordinates:
Dy  0.0000  0.0000  0.0000 x1
Dy  0.5000  0.5000  0.0000 x1
Pu  0.0000  0.5000  0.5000 x1
Sc  0.5000  0.0000  0.5000 x1
As  0.2538  0.0000  0.7437 x2
As  0.2590  0.5000  0.2604 x2